# PBE RbBi2BI, optimized geometry
data_RbBi2BI
_cell_length_a 6.570
_cell_length_b 6.570
_cell_length_c 5.002
_cell_angle_alpha 90.00
_cell_angle_beta 90.00
_cell_angle_gamma 90.00
_space_group_name_H-M_alt 'P 4/m m m'
_space_group_IT_number 123
_space_group_name_Hall '-P 4 2'
loop_
_atom_site_label
_atom_site_type_symbol
_atom_site_fract_x
_atom_site_fract_y
_atom_site_fract_z
Rb1 Rb 0.000 0.000 0.000
Bi1 Bi 0.000 0.500 0.000
B1 B 0.000 0.000 0.500
I1 I 0.500 0.500 0.500
# magnetic moment = 0.29 μB per formula unit
# formation energy without anion corrections = 1.819 eV/atom
# Fermi-level density of states = 1.35 states/eV/atom